## A
VASP calculation (PBE) on a relaxed structure of ZrAgTe4.

For the volume, the calculation gives 30.53 Å³ per atom. The density comes out at 6.43 g/cm³. As for the total magnetization: 0.00 μB/cell.

The space group is Cmcm (No. 63) and the conventional cell measures 8.905, 7.793 and 10.556 Å, with angles of 90.00, 90.00 and 90.00 degrees. Symmetry generates all atoms from Zr at (0.000, 0.047, 0.250), Ag at (0.000, 0.449, 0.250), Te at (0.000, 0.244, 0.024) and Te at (0.202, 0.270, 0.750).


## B
VASP calculation (PBE) on a relaxed structure of ZrAgTe4.

For the volume, the calculation gives 28.42 Å³ per atom. The density comes out at 6.91 g/cm³. As for the total magnetization: 5.18 μB/cell.

The space group is F-43m (No. 216) and the conventional cell measures 8.803, 8.803 and 8.803 Å, with angles of 90.00, 90.00 and 90.00 degrees. Symmetry generates all atoms from Zr at (0.000, 0.000, 0.000), Ag at (0.250, 0.250, 0.750) and Te at (0.125, 0.125, 0.375).


Stability ranking, top entry: A; the second entry is 76.4 kJ/mol of atoms less favorable.


## A
VASP calculation (PBE) on a relaxed structure of ZrAg3Te.

For the volume, the calculation gives 27.45 Å³ per atom. The density comes out at 6.56 g/cm³. As for the total magnetization: 0.52 μB/cell.

The space group is Pm-3m (No. 221) and the conventional cell measures 5.158, 5.158 and 5.158 Å, with angles of 90.00, 90.00 and 90.00 degrees. Symmetry generates all atoms from Zr at (0.000, 0.000, 0.000), Ag at (0.000, 0.500, 0.500) and Te at (0.500, 0.500, 0.500).


## B
VASP calculation (PBE) on a relaxed structure of ZrAg3Te.

For the volume, the calculation gives 29.86 Å³ per atom. The density comes out at 6.03 g/cm³. As for the total magnetization: 0.80 μB/cell.

The space group is Pm-3m (No. 221) and the conventional cell measures 5.305, 5.305 and 5.305 Å, with angles of 90.00, 90.00 and 90.00 degrees. Symmetry generates all atoms from Zr at (0.000, 0.000, 0.000), Ag at (0.000, 0.000, 0.500) and Te at (0.500, 0.500, 0.500).


Stability ranking, top entry: A; the second entry is 18.3 kJ/mol of atoms less favorable.